No. 1
KGaN2F: optimized geometry, PBEsol.

energy relative to the elements, uncorrected	-0.4	eV/f.u.
E	-4.776	eV/atom

Lattice parameters (Å, degrees): 3.9041 3.9041 4.4464 90.00 90.00 90.00
Last column: nearest neighbours and their distance in Å.
Fractional positions:
K1 0.0000 0.0000 0.0000  4 F 2.76, 8 N 2.96
Ga1 0.5000 0.5000 0.5000  4 N 1.95
N1 0.0000 0.5000 0.5000  2 Ga 1.95
N2 0.5000 0.0000 0.5000  2 Ga 1.95
F1 0.5000 0.5000 0.0000  2 Ga 2.22

No. 2
Ca4TaCl: optimized geometry, PBEsol.

energy relative to the elements, uncorrected	4.8	eV/f.u.
E	-3.049	eV/atom

Lattice parameters (Å, degrees): 6.4961 6.4961 6.4961 60.00 60.00 60.00
Last column: nearest neighbours and their distance in Å.
Fractional positions:
Ca1 0.3763 0.3763 0.3763  6 Ca 3.21-3.28
Ca2 0.3763 0.3763 0.8711  6 Ca 3.21-3.28
Ca3 0.3763 0.8711 0.3763  6 Ca 3.21-3.28
Ca4 0.8711 0.3763 0.3763  6 Ca 3.21-3.28
Ta1 0.7500 0.7500 0.7500  12 Ca 3.81, 4 Cl 3.98
Cl1 0.0000 0.0000 0.0000  12 Ca 3.81, 4 Ta 3.98

No. 3
BiRhO3: optimized geometry, PBEsol.

energy relative to the elements, uncorrected	-5.0	eV/f.u.
E	-6.625	eV/atom

Lattice parameters (Å, degrees): 5.8557 7.6864 5.3127 90.00 90.00 90.00
Last column: nearest neighbours and their distance in Å.
Fractional positions:
Bi1 0.0704 0.2500 0.0204  4 O 2.24-2.38
Bi2 0.4296 0.7500 0.5204  4 O 2.24-2.38
Bi3 0.5704 0.2500 0.4796  4 O 2.24-2.38
Bi4 0.9296 0.7500 0.9796  4 O 2.24-2.38
Rh1 0.0000 0.0000 0.5000  6 O 2.03-2.08
Rh2 0.0000 0.5000 0.5000  6 O 2.03-2.08
Rh3 0.5000 0.0000 0.0000  6 O 2.03-2.08
Rh4 0.5000 0.5000 0.0000  6 O 2.03-2.08
O1 0.0427 0.7500 0.3831  2 Rh 2.03, 1 Bi 2.24
O2 0.1873 0.5406 0.8280  2 Rh 2.07-2.08
O3 0.1873 0.9594 0.8280  2 Rh 2.07-2.08
O4 0.3127 0.0406 0.3280  2 Rh 2.07-2.08
O5 0.3127 0.4594 0.3280  2 Rh 2.07-2.08
O6 0.4573 0.2500 0.8831  2 Rh 2.03, 1 Bi 2.24
O7 0.5427 0.7500 0.1169  2 Rh 2.03, 1 Bi 2.24
O8 0.6873 0.5406 0.6720  2 Rh 2.07-2.08
O9 0.6873 0.9594 0.6720  2 Rh 2.07-2.08
O10 0.8127 0.0406 0.1720  2 Rh 2.07-2.08
O11 0.8127 0.4594 0.1720  2 Rh 2.07-2.08
O12 0.9573 0.2500 0.6169  2 Rh 2.03, 1 Bi 2.24

No. 4
KMgNb2Fe: optimized geometry, PBEsol.

E	-4.628	eV/atom

Lattice parameters (Å, degrees): 4.9881 4.9881 4.7010 90.00 90.00 90.00
Last column: nearest neighbours and their distance in Å.
Fractional positions:
K1 0.0000 0.0000 0.0000  8 Nb 3.43, 4 Fe 3.53
Mg1 0.5000 0.5000 0.5000  2 Fe 2.35, 4 Nb 2.49
Nb1 0.0000 0.5000 0.5000  2 Mg 2.49
Nb2 0.5000 0.0000 0.5000  2 Mg 2.49
Fe1 0.5000 0.5000 0.0000  2 Mg 2.35

No. 5
NiAg2As: optimized geometry, PBEsol.

E	-4.471	eV/atom

Lattice parameters (Å, degrees): 3.0280 3.0280 6.6857 90.00 90.00 90.00
Last column: nearest neighbours and their distance in Å.
Fractional positions:
Ni1 0.0000 0.0000 0.0000  4 As 2.40
Ag1 0.0000 0.0000 0.5382  8 Ag 2.83-3.03, 4 As 2.94, 1 Ni 3.09
Ag2 0.5000 0.5000 0.2610  4 Ni 2.76, 1 As 2.82, 8 Ag 2.83-3.03
As1 0.5000 0.5000 0.8392  4 Ni 2.40

No. 6
BeCoSi2Sn: optimized geometry, PBEsol.

energy relative to the elements, uncorrected	1.3	eV/f.u.
E	-5.228	eV/atom

Lattice parameters (Å, degrees): 4.3319 4.3319 4.2542 90.00 90.00 90.00
Last column: nearest neighbours and their distance in Å.
Fractional positions:
Be1 0.0000 0.0000 0.0000  2 Co 2.13
Co1 0.0000 0.0000 0.5000  2 Be 2.13, 4 Si 2.17
Si1 0.0000 0.5000 0.5000  2 Co 2.17
Si2 0.5000 0.0000 0.5000  2 Co 2.17
Sn1 0.5000 0.5000 0.0000  8 Si 3.04, 4 Be 3.06

No. 7
CrNi2Ru: optimized geometry, PBEsol.

E	-8.138	eV/atom

Lattice parameters (Å, degrees): 2.5435 4.0335 4.4054 90.00 90.00 90.00
Last column: nearest neighbours and their distance in Å.
Fractional positions:
Cr1 0.0000 0.0000 0.0000  2 Ru 2.46, 8 Ni 2.50-2.58, 2 Cr 2.54
Ni1 0.5000 0.0000 0.5108  4 Ni 2.43-2.54, 4 Cr 2.50-2.58, 4 Ru 2.53
Ni2 0.5000 0.5000 0.8175  4 Ni 2.43-2.54, 4 Cr 2.52, 4 Ru 2.54-2.55
Ru1 0.0000 0.5000 0.3185  2 Cr 2.46, 8 Ni 2.53-2.55, 2 Ru 2.54

No. 8
TlAs2HPb: optimized geometry, PBEsol.

E	-3.666	eV/atom

Lattice parameters (Å, degrees): 4.3933 4.3933 5.1240 90.00 90.00 90.00
Last column: nearest neighbours and their distance in Å.
Fractional positions:
Tl1 0.0000 0.0000 0.0000  2 H 2.56
As1 0.0000 0.5000 0.5000  2 H 2.20
As2 0.5000 0.0000 0.5000  2 H 2.20
H1 0.0000 0.0000 0.5000  4 As 2.20
Pb1 0.5000 0.5000 0.0000  4 Tl 3.11, 8 As 3.37

No. 9
Tl2TcRu: optimized geometry, PBEsol.

E	-6.297	eV/atom

Lattice parameters (Å, degrees): 2.9622 2.9622 8.6841 90.00 90.00 90.00
Last column: nearest neighbours and their distance in Å.
Fractional positions:
Tl1 0.0000 0.0000 0.0000  4 Tl 2.96, 4 Tc 3.03
Tl2 0.5000 0.5000 0.3343  4 Tl 2.96, 4 Ru 3.01
Tc1 0.5000 0.5000 0.7485  4 Ru 2.54
Ru1 0.0000 0.0000 0.5834  4 Tc 2.54

No. 10
ZnSiPb3: optimized geometry, PBEsol.

energy relative to the elements, uncorrected	3.3	eV/f.u.
E	-3.198	eV/atom

Lattice parameters (Å, degrees): 5.3417 5.3417 5.3417 90.00 90.00 90.00
Last column: nearest neighbours and their distance in Å.
Fractional positions:
Zn1 0.0000 0.0000 0.0000  12 Pb 3.78
Si1 0.5000 0.5000 0.5000  6 Pb 2.67
Pb1 0.0000 0.5000 0.5000  2 Si 2.67
Pb2 0.5000 0.0000 0.5000  2 Si 2.67
Pb3 0.5000 0.5000 0.0000  2 Si 2.67

No. 11
CdP2W: optimized geometry, PBEsol.

E	-6.459	eV/atom

Lattice parameters (Å, degrees): 4.5098 3.3372 8.7681 90.00 90.00 90.00
Last column: nearest neighbours and their distance in Å.
Fractional positions:
Cd1 0.0000 0.0000 0.0000  3 P 2.42-2.58
Cd2 0.0000 0.5000 0.5000  3 P 2.42-2.58
P1 0.0000 0.0000 0.7238  3 Cd 2.42-2.58, 2 W 2.45
P2 0.0000 0.5000 0.2238  3 Cd 2.42-2.58, 2 W 2.45
P3 0.5000 0.0000 0.3265  3 W 2.49-2.54
P4 0.5000 0.5000 0.8265  3 W 2.49-2.54
W1 0.5000 0.0000 0.6158  5 P 2.45-2.54
W2 0.5000 0.5000 0.1158  5 P 2.45-2.54

No. 12
ZnAsRuBr2: optimized geometry, PBEsol.

energy relative to the elements, uncorrected	1.9	eV/f.u.
E	-3.741	eV/atom

Lattice parameters (Å, degrees): 5.1075 5.1075 4.5929 90.00 90.00 90.00
Last column: nearest neighbours and their distance in Å.
Fractional positions:
Zn1 0.0000 0.0000 0.0000  8 Br 3.43, 4 As 3.61
As1 0.5000 0.5000 0.0000  2 Ru 2.30
Ru1 0.5000 0.5000 0.5000  2 As 2.30, 4 Br 2.55
Br1 0.0000 0.5000 0.5000  2 Ru 2.55
Br2 0.5000 0.0000 0.5000  2 Ru 2.55